# 1
Material: Rb2TiGaBr6
Method: DFT, PBE
State: relaxed

abc: 7.9008 7.9008 7.9008
angles: 60.00 60.00 60.00
Last column: nearest neighbours and their distance in Å.
Fractional positions:
Rb  0.2500  0.2500  0.2500  12 Br 3.96
Rb  0.7500  0.7500  0.7500  12 Br 3.96
Ti  0.0000  0.0000  0.0000  6 Br 2.60
Ga  0.5000  0.5000  0.5000  6 Br 2.99
Br  0.2327  0.2327  0.7673  1 Ti 2.60
Br  0.2327  0.7673  0.2327  1 Ti 2.60
Br  0.2327  0.7673  0.7673  1 Ti 2.60
Br  0.7673  0.2327  0.2327  1 Ti 2.60
Br  0.7673  0.2327  0.7673  1 Ti 2.60
Br  0.7673  0.7673  0.2327  1 Ti 2.60

Properties
Energy above the most stable polymorph in this dataset: 0.32 kcal/mol of atoms
Uncorrected formation energy: -123 kJ per mole of atoms
Space-group type: Fm-3m, No. 225

***

# 2
Material: Sr3Bi3H2
Method: DFT, PBE
State: relaxed

abc: 4.2178 5.8288 9.3549
angles: 88.81 76.98 89.93
Last column: nearest neighbours and their distance in Å.
Fractional positions:
Sr  0.0000  0.0000  0.0000  8 Bi 3.60-3.97
Sr  0.1609  0.4931  0.6788  3 H 2.31-2.32
Sr  0.8391  0.5069  0.3212  3 H 2.31-2.32
Bi  0.3178  0.0069  0.3678  2 H 2.92-3.00, 2 Bi 3.19-3.21
Bi  0.5000  0.5000  0.0000  8 Sr 3.60-3.61, 2 H 3.87
Bi  0.6822  0.9931  0.6322  2 H 2.92-3.00, 2 Bi 3.19-3.21
H  0.2875  0.5118  0.4242  3 Sr 2.31-2.32, 2 H 2.52-2.53
H  0.7125  0.4882  0.5758  3 Sr 2.31-2.32, 2 H 2.52-2.53

Properties
Space-group type: P-1, No. 2

***

# 3
Material: Na2PuS3
Method: DFT, PBE
State: relaxed

abc: 6.9612 6.9612 6.9826
angles: 99.66 99.66 120.01
Last column: nearest neighbours and their distance in Å.
Fractional positions:
Na  0.0000  0.0000  0.0000  6 S 2.89-2.90
Na  0.1601  0.8399  0.5000  6 S 2.86-3.03
Na  0.5000  0.5000  0.5000  6 S 2.81-3.01
Na  0.8399  0.1601  0.5000  6 S 2.86-3.03
Pu  0.3329  0.6671  0.0000  6 S 2.68-2.70
Pu  0.6671  0.3329  0.0000  6 S 2.68-2.70
S  0.0757  0.4332  0.2246  2 Pu 2.68, 2 Na 2.86-2.89
S  0.2806  0.2806  0.7728  2 Pu 2.70, 4 Na 2.81-2.94
S  0.4332  0.0757  0.2246  2 Pu 2.68, 2 Na 2.86-2.89
S  0.5668  0.9243  0.7754  2 Pu 2.68, 2 Na 2.86-2.89
S  0.7194  0.7194  0.2272  2 Pu 2.70, 4 Na 2.81-2.94
S  0.9243  0.5668  0.7754  2 Pu 2.68, 2 Na 2.86-2.89

Properties
Energy above the most stable polymorph in this dataset: 0.00 kcal/mol of atoms
Uncorrected formation energy: -133 kJ per mole of atoms
Space-group type: C2/m, No. 12

***

# 4
Material: NbPtCI2
Method: DFT, PBE
State: relaxed

abc: 4.9360 4.9360 4.2357
angles: 90.00 90.00 90.00
Last column: nearest neighbours and their distance in Å.
Fractional positions:
Nb  0.0000  0.0000  0.0000  2 C 2.12
Pt  0.5000  0.5000  0.0000  8 I 3.25, 4 Nb 3.49
C  0.0000  0.0000  0.5000  2 Nb 2.12
I  0.0000  0.5000  0.5000  2 C 2.47
I  0.5000  0.0000  0.5000  2 C 2.47

Properties
Uncorrected formation energy: 128 kJ per mole of atoms
Space-group type: P4/mmm, No. 123

***

# 5
Material: TbGdTh2
Method: DFT, PBE
State: relaxed

abc: 4.1905 4.1905 7.3226
angles: 90.00 90.00 90.00
Last column: nearest neighbours and their distance in Å.
Fractional positions:
Tb  0.0000  0.0000  0.0000  8 Th 3.48, 2 Gd 3.66
Gd  0.0000  0.0000  0.5000  8 Th 3.49, 2 Tb 3.66
Th  0.5000  0.5000  0.2488  4 Tb 3.48, 4 Gd 3.49, 2 Th 3.64-3.68
Th  0.5000  0.5000  0.7512  4 Tb 3.48, 4 Gd 3.49, 2 Th 3.64-3.68

Properties
ΔH_f (0 K): 0.144 eV per atom
Energy above the most stable polymorph in this dataset: 2.09 kcal/mol of atoms
Space-group type: P4/mmm, No. 123

***

# 6
Material: LiErRu4
Method: DFT, PBE
State: relaxed

abc: 5.2156 5.2156 5.2156
angles: 60.00 60.00 60.00
Last column: nearest neighbours and their distance in Å.
Fractional positions:
Li  0.0000  0.0000  0.0000  12 Ru 3.06, 4 Er 3.19
Er  0.7500  0.7500  0.7500  12 Ru 3.06, 4 Li 3.19
Ru  0.3746  0.3746  0.3746  6 Ru 2.60-2.62
Ru  0.3746  0.3746  0.8763  6 Ru 2.60-2.62
Ru  0.3746  0.8763  0.3746  6 Ru 2.60-2.62
Ru  0.8763  0.3746  0.3746  6 Ru 2.60-2.62

Properties
ΔH_f (0 K): 0.029 eV per atom
Space-group type: F-43m, No. 216

***

# 7
Material: MnSi2Br
Method: DFT, PBE
State: relaxed

abc: 2.9069 4.4079 10.9941
angles: 90.00 90.00 90.00
Last column: nearest neighbours and their distance in Å.
Fractional positions:
Mn  0.0000  0.0000  0.0000  4 Br 2.64, 4 Si 2.69, 2 Mn 2.91
Mn  0.5000  0.5000  0.5000  4 Br 2.64, 4 Si 2.69, 2 Mn 2.91
Si  0.0000  0.5000  0.2943  2 Mn 2.69, 6 Si 2.81-2.91
Si  0.0000  0.5000  0.7057  2 Mn 2.69, 6 Si 2.81-2.91
Si  0.5000  0.0000  0.2057  2 Mn 2.69, 6 Si 2.81-2.91
Si  0.5000  0.0000  0.7943  2 Mn 2.69, 6 Si 2.81-2.91
Br  0.0000  0.0000  0.5000  4 Mn 2.64, 2 Br 2.91
Br  0.5000  0.5000  0.0000  4 Mn 2.64, 2 Br 2.91

Properties
Energy above the most stable polymorph in this dataset: 9.83 kcal/mol of atoms
Uncorrected formation energy: 45 kJ per mole of atoms
Space-group type: Immm, No. 71

***

# 8
Material: TaCdSe2
Method: DFT, PBE
State: relaxed

abc: 3.1869 3.1869 9.0307
angles: 90.00 90.00 90.00
Last column: nearest neighbours and their distance in Å.
Fractional positions:
Ta  0.0000  0.0000  0.0000  8 Se 2.75
Cd  0.0000  0.0000  0.5000  4 Cd 3.19
Se  0.5000  0.5000  0.1737  4 Ta 2.75
Se  0.5000  0.5000  0.8263  4 Ta 2.75

Properties
Uncorrected formation energy: -36 kJ per mole of atoms
Space-group type: P4/mmm, No. 123

***

# 9
Material: Tm2Ge4Rh5
Method: DFT, PBE
State: relaxed

abc: 8.7785 7.9123 5.5007
angles: 79.54 62.42 38.04
Last column: nearest neighbours and their distance in Å.
Fractional positions:
Tm  0.1212  0.1212  0.8788  6 Ge 3.17-3.26, 10 Rh 3.28-3.35
Tm  0.8788  0.8788  0.1212  6 Ge 3.17-3.26, 10 Rh 3.28-3.35
Ge  0.2134  0.5241  0.4759  5 Rh 2.42-2.56
Ge  0.4759  0.7866  0.2134  5 Rh 2.42-2.56
Ge  0.5241  0.2134  0.7866  5 Rh 2.42-2.56
Ge  0.7866  0.4759  0.5241  5 Rh 2.42-2.56
Rh  0.0000  0.0000  0.5000  4 Ge 2.56, 4 Rh 2.75-2.81
Rh  0.2500  0.2500  0.2500  4 Ge 2.42
Rh  0.5000  0.5000  0.0000  4 Ge 2.56, 4 Rh 2.75-2.81
Rh  0.5000  0.5000  0.5000  4 Ge 2.43
Rh  0.7500  0.7500  0.7500  4 Ge 2.42

Properties
ΔH_f (0 K): -0.746 eV per atom
Space-group type: Fmmm, No. 69

***

# 10
Material: HgTeClO2
Method: DFT, PBE
State: relaxed

abc: 6.0212 4.0229 9.4317
angles: 90.00 99.64 90.00
Last column: nearest neighbours and their distance in Å.
Fractional positions:
Hg  0.0108  0.2500  0.1077  2 O 2.48
Hg  0.9892  0.7500  0.8923  2 O 2.48
Te  0.2107  0.2500  0.5930  2 O 1.87-2.08
Te  0.7893  0.7500  0.4070  2 O 1.87-2.08
Cl  0.4308  0.2500  0.2836  1 Hg 2.78, 1 O 3.04, 2 Te 3.04
Cl  0.5692  0.7500  0.7164  1 Hg 2.78, 1 O 3.04, 2 Te 3.04
O  0.0920  0.7500  0.5496  3 Te 2.08-2.15
O  0.0943  0.2500  0.7652  1 Te 1.87
O  0.9057  0.7500  0.2348  1 Te 1.87
O  0.9080  0.2500  0.4504  3 Te 2.08-2.15

Properties
Uncorrected formation energy: -71 kJ per mole of atoms
Space-group type: P2_1/m, No. 11

***

# 11
Material: BeCr2NiHg
Method: DFT, PBE
State: relaxed

abc: 5.0469 5.0469 4.7196
angles: 90.00 90.00 90.00
Last column: nearest neighbours and their distance in Å.
Fractional positions:
Be  0.0000  0.0000  0.0000  8 Cr 3.45, 4 Ni 3.57
Cr  0.0000  0.5000  0.5000  2 Hg 2.52
Cr  0.5000  0.0000  0.5000  2 Hg 2.52
Ni  0.5000  0.5000  0.0000  2 Hg 2.36
Hg  0.5000  0.5000  0.5000  2 Ni 2.36, 4 Cr 2.52

Properties
ΔH_f (0 K): 1.780 eV per atom
Space-group type: P4/mmm, No. 123

***

# 12
Material: GdThSnPb
Method: DFT, PBE
State: relaxed

abc: 7.7658 7.7658 7.7658
angles: 90.00 90.00 90.00
Last column: nearest neighbours and their distance in Å.
Fractional positions:
Gd  0.0000  0.0000  0.0000  4 Pb 3.36, 4 Sn 3.36
Gd  0.0000  0.5000  0.5000  4 Pb 3.36, 4 Sn 3.36
Gd  0.5000  0.0000  0.5000  4 Pb 3.36, 4 Sn 3.36
Gd  0.5000  0.5000  0.0000  4 Pb 3.36, 4 Sn 3.36
Th  0.0000  0.0000  0.5000  4 Sn 3.36, 4 Pb 3.36
Th  0.0000  0.5000  0.0000  4 Sn 3.36, 4 Pb 3.36
Th  0.5000  0.0000  0.0000  4 Sn 3.36, 4 Pb 3.36
Th  0.5000  0.5000  0.5000  4 Sn 3.36, 4 Pb 3.36
Sn  0.2500  0.2500  0.2500  4 Gd 3.36, 4 Th 3.36
Sn  0.2500  0.7500  0.7500  4 Gd 3.36, 4 Th 3.36
Sn  0.7500  0.2500  0.7500  4 Gd 3.36, 4 Th 3.36
Sn  0.7500  0.7500  0.2500  4 Gd 3.36, 4 Th 3.36
Pb  0.2500  0.2500  0.7500  4 Gd 3.36, 4 Th 3.36
Pb  0.2500  0.7500  0.2500  4 Gd 3.36, 4 Th 3.36
Pb  0.7500  0.2500  0.2500  4 Gd 3.36, 4 Th 3.36
Pb  0.7500  0.7500  0.7500  4 Gd 3.36, 4 Th 3.36

Properties
ΔH_f (0 K): -0.383 eV per atom
Space-group type: F-43m, No. 216

***

# 13
Material: Mn4InSe
Method: DFT, PBE
State: relaxed

abc: 5.0114 5.0114 5.0114
angles: 60.00 60.00 60.00
Last column: nearest neighbours and their distance in Å.
Fractional positions:
Mn  0.1253  0.1253  0.1253  6 Mn 2.50-2.51
Mn  0.1253  0.1253  0.6241  6 Mn 2.50-2.51
Mn  0.1253  0.6241  0.1253  6 Mn 2.50-2.51
Mn  0.6241  0.1253  0.1253  6 Mn 2.50-2.51
In  0.5000  0.5000  0.5000  12 Mn 2.94, 4 Se 3.07
Se  0.7500  0.7500  0.7500  12 Mn 2.94, 4 In 3.07

Properties
Uncorrected formation energy: 44 kJ per mole of atoms
Space-group type: F-43m, No. 216

***

Number 1: E -35.7 eV/cell, calculated volume 34.87 A^3/atom. Number 2: E -27.1 eV/cell, calculated volume 28.00 A^3/atom. Number 3: E -75.3 eV/cell, calculated volume 23.00 A^3/atom. Number 4: E -21.8 eV/cell, calculated volume 20.64 A^3/atom. Number 5: E -33.0 eV/cell, calculated volume 32.15 A^3/atom. Number 6: E -43.4 eV/cell, calculated volume 16.72 A^3/atom. Number 7: E -39.6 eV/cell, calculated volume 17.61 A^3/atom. Number 8: E -21.2 eV/cell, calculated volume 22.93 A^3/atom. Number 9: E -72.4 eV/cell, calculated volume 17.87 A^3/atom. Number 10: E -37.7 eV/cell, calculated volume 22.52 A^3/atom. Number 11: E -20.2 eV/cell, calculated volume 24.04 A^3/atom. Number 12: E -123.0 eV/cell, calculated volume 29.27 A^3/atom. Number 13: E -40.2 eV/cell, calculated volume 14.83 A^3/atom.